No. 1
# InRuSe2

A relaxed InRuSe2 crystal (PBE, Alexandria via LeMat-Bulk).

a b c (Å): 5.131 5.131 5.131
angles (deg): 130.90 130.90 71.97
Sites, in units of the cell vectors:
Se  0.000  0.000  0.000
Ru  0.750  0.250  0.500
In  0.500  0.500  0.000
Se  0.250  0.750  0.500

Output
- Formation energy from raw total energies: 0.458 eV per atom

***

No. 2
# InRuSe4

A relaxed InRuSe4 crystal (PBE, Alexandria via LeMat-Bulk).

a b c (Å): 5.747 5.747 5.747
angles (deg): 60.00 60.00 60.00
Last column: magnetic moment on the atom in μB.
Sites, in units of the cell vectors:
Ru  0.000  0.000  0.000  2.34
Se  0.878  0.374  0.374  0.08
Se  0.374  0.374  0.878  0.08
In  0.750  0.750  0.750  0.02
Se  0.374  0.878  0.374  0.08
Se  0.374  0.374  0.374  0.08

Output
- Formation energy from raw total energies: 0.848 eV per atom

***

No. 3
# InRuSe2

A relaxed InRuSe2 crystal (PBE, Alexandria via LeMat-Bulk).

a b c (Å): 3.060 4.433 7.100
angles (deg): 78.43 90.00 90.00
Sites, in units of the cell vectors:
Se  0.000  0.850  0.939
In  0.000  0.492  0.579
Ru  0.500  0.955  0.673
Se  0.500  0.203  0.309

Output
- Formation energy from raw total energies: -0.071 eV per atom

***

No. 4
# InRuSe3

A relaxed InRuSe3 crystal (PBE, Alexandria via LeMat-Bulk).

a b c (Å): 4.942 4.942 4.942
angles (deg): 90.00 90.00 90.00
Sites, in units of the cell vectors:
Ru  0.000  0.000  0.000
In  0.500  0.500  0.500
Se  0.000  0.500  0.000
Se  0.000  0.000  0.500
Se  0.500  0.000  0.000

Output
- Formation energy from raw total energies: 0.205 eV per atom
- Energy above the most stable polymorph in this dataset: 0.000 eV per atom

***

No. 5
# InRuSe2

A relaxed InRuSe2 crystal (PBE, Alexandria via LeMat-Bulk).

a b c (Å): 3.104 3.104 8.558
angles (deg): 90.00 90.00 89.99
Last column: magnetic moment on the atom in μB.
Sites, in units of the cell vectors:
In  0.500  0.500  0.250  0.01
Se  0.000  0.000  0.929  0.01
Se  0.000  0.000  0.571  0.01
Ru  0.500  0.500  0.750  0.54

Output
- Formation energy from raw total energies: 0.043 eV per atom

***

No. 6
# InRuSe2

A relaxed InRuSe2 crystal (PBE, Alexandria via LeMat-Bulk).

a b c (Å): 3.354 4.796 4.699
angles (deg): 90.00 90.00 90.00
Sites, in units of the cell vectors:
Se  0.500  0.500  0.000
Se  0.000  0.000  0.000
Ru  0.000  0.500  0.500
In  0.500  0.000  0.500

Output
- Formation energy from raw total energies: 0.488 eV per atom

***

Question: Number 5 is which compound?
Answer: InRuSe2